# PBE LaGdDyTm, optimized geometry
# Space-group type: F-43m (216)
# Formation energy (meV per atom): 96
# Mass density (Mg/m³): 7.85
data_LaGdDyTm
_chemical_formula_sum 'La1 Gd1 Dy1 Tm1'
_cell_length_a 5.725
_cell_length_b 5.725
_cell_length_c 5.725
_cell_angle_alpha 60.00
_cell_angle_beta 60.00
_cell_angle_gamma 60.00
_space_group_name_H-M_alt 'P 1'
_space_group_IT_number 1
loop_
_space_group_symop_operation_xyz
'x,y,z'
loop_
_atom_site_label
_atom_site_fract_x
_atom_site_fract_y
_atom_site_fract_z
La1 0.000 0.000 0.000
Gd1 0.500 0.500 0.500
Dy1 0.750 0.750 0.750
Tm1 0.250 0.250 0.250



# PBE ErZnSb, optimized geometry
# Formation energy without anion corrections (eV per atom): -0.5208
# Space-group type: Cmcm (63)
# Offset from the most stable computed form (eV/f.u.): 0.06
# Mass density (Mg/m³): 8.16
data_ErZnSb
_chemical_formula_sum 'Er2 Zn2 Sb2'
_cell_length_a 8.698
_cell_length_b 8.698
_cell_length_c 4.301
_cell_angle_alpha 90.00
_cell_angle_beta 90.00
_cell_angle_gamma 153.69
_space_group_name_H-M_alt 'P 1'
_space_group_IT_number 1
loop_
_space_group_symop_operation_xyz
'x,y,z'
loop_
_atom_site_label
_atom_site_fract_x
_atom_site_fract_y
_atom_site_fract_z
Er1 0.117 0.883 0.750
Er2 0.883 0.117 0.250
Zn1 0.467 0.533 0.750
Zn2 0.533 0.467 0.250
Sb1 0.312 0.688 0.750
Sb2 0.688 0.312 0.250



# PBE NdSm5YHo2, optimized geometry
# Space-group type: Cmc2_1 (36)
# Formation energy (meV per atom): 153
# Mass density (Mg/m³): 7.11
data_NdSm5YHo2
_chemical_formula_sum 'Nd2 Sm10 Y2 Ho4'
_cell_length_a 10.554
_cell_length_b 10.554
_cell_length_c 10.674
_cell_angle_alpha 90.00
_cell_angle_beta 90.00
_cell_angle_gamma 148.92
_space_group_name_H-M_alt 'P 1'
_space_group_IT_number 1
loop_
_space_group_symop_operation_xyz
'x,y,z'
loop_
_atom_site_label
_atom_site_fract_x
_atom_site_fract_y
_atom_site_fract_z
Nd1 0.202 0.798 0.500
Nd2 0.798 0.202 0.000
Sm1 0.016 0.984 0.512
Sm2 0.280 0.720 0.798
Sm3 0.298 0.702 0.195
Sm4 0.392 0.608 0.515
Sm5 0.479 0.521 0.230
Sm6 0.521 0.479 0.730
Sm7 0.608 0.392 0.015
Sm8 0.702 0.298 0.695
Sm9 0.720 0.280 0.298
Sm10 0.984 0.016 0.012
Y1 0.411 0.589 0.945
Y2 0.589 0.411 0.445
Ho1 0.111 0.889 0.226
Ho2 0.115 0.885 0.807
Ho3 0.885 0.115 0.307
Ho4 0.889 0.111 0.726



# PBE K4NaCe3Se8, optimized geometry
# Formation energy without anion corrections (eV per atom): -1.5586
# Space-group type: R-3m (166)
# Mass density (Mg/m³): 4.11
data_K4NaCe3Se8
_chemical_formula_sum 'K4 Na1 Ce3 Se8'
_cell_length_a 9.102
_cell_length_b 9.102
_cell_length_c 9.102
_cell_angle_alpha 57.06
_cell_angle_beta 57.06
_cell_angle_gamma 57.06
_space_group_name_H-M_alt 'P 1'
_space_group_IT_number 1
loop_
_space_group_symop_operation_xyz
'x,y,z'
loop_
_atom_site_label
_atom_site_fract_x
_atom_site_fract_y
_atom_site_fract_z
K1 0.000 0.000 0.000
K2 0.000 0.500 0.500
K3 0.500 0.000 0.500
K4 0.500 0.500 0.000
Na1 0.500 0.500 0.500
Ce1 0.000 0.000 0.500
Ce2 0.000 0.500 0.000
Ce3 0.500 0.000 0.000
Se1 0.218 0.743 0.743
Se2 0.236 0.236 0.236
Se3 0.257 0.257 0.782
Se4 0.257 0.782 0.257
Se5 0.743 0.218 0.743
Se6 0.743 0.743 0.218
Se7 0.764 0.764 0.764
Se8 0.782 0.257 0.257



# PBE MnHgBr2, optimized geometry
# Formation energy without anion corrections (eV per atom): 0.1257
# Space-group type: P4/mmm (123)
# Offset from the most stable computed form (eV/f.u.): 2.77
# Mass density (Mg/m³): 6.82
data_MnHgBr2
_chemical_formula_sum 'Mn1 Hg1 Br2'
_cell_length_a 5.187
_cell_length_b 5.187
_cell_length_c 3.761
_cell_angle_alpha 90.00
_cell_angle_beta 90.00
_cell_angle_gamma 90.00
_space_group_name_H-M_alt 'P 1'
_space_group_IT_number 1
loop_
_space_group_symop_operation_xyz
'x,y,z'
loop_
_atom_site_label
_atom_site_fract_x
_atom_site_fract_y
_atom_site_fract_z
Mn1 0.000 0.000 0.000
Hg1 0.500 0.500 0.000
Br1 0.000 0.500 0.500
Br2 0.500 0.000 0.500



# PBE CeTmCoPd, optimized geometry
# Space-group type: F-43m (216)
# Formation energy (meV per atom): -412
# Mass density (Mg/m³): 9.68
data_CeTmCoPd
_chemical_formula_sum 'Ce1 Tm1 Co1 Pd1'
_cell_length_a 4.864
_cell_length_b 4.864
_cell_length_c 4.864
_cell_angle_alpha 60.00
_cell_angle_beta 60.00
_cell_angle_gamma 60.00
_space_group_name_H-M_alt 'P 1'
_space_group_IT_number 1
loop_
_space_group_symop_operation_xyz
'x,y,z'
loop_
_atom_site_label
_atom_site_fract_x
_atom_site_fract_y
_atom_site_fract_z
Ce1 0.000 0.000 0.000
Tm1 0.500 0.500 0.500
Co1 0.750 0.750 0.750
Pd1 0.250 0.250 0.250



# PBE Pu2ZrScSb4, optimized geometry
# Formation energy without anion corrections (eV per atom): -0.7142
# Space-group type: P2/m (10)
# Mass density (Mg/m³): 8.29
data_Pu2ZrScSb4
_chemical_formula_sum 'Pu2 Zr1 Sc1 Sb4'
_cell_length_a 7.425
_cell_length_b 4.275
_cell_length_c 7.430
_cell_angle_alpha 90.00
_cell_angle_beta 109.34
_cell_angle_gamma 90.00
_space_group_name_H-M_alt 'P 1'
_space_group_IT_number 1
loop_
_space_group_symop_operation_xyz
'x,y,z'
loop_
_atom_site_label
_atom_site_fract_x
_atom_site_fract_y
_atom_site_fract_z
Pu1 0.000 0.000 0.000
Pu2 0.500 0.500 0.000
Zr1 0.000 0.500 0.500
Sc1 0.500 0.000 0.500
Sb1 0.244 0.000 0.733
Sb2 0.255 0.500 0.268
Sb3 0.745 0.500 0.732
Sb4 0.756 0.000 0.267